{"formula": "Ba3Zn2FeO6", "functional": "PBE with a Hubbard U", "state": "optimized geometry", "m_tot_mub_per_fu": 4.39, "e_tot_ev_per_cell": -65.4, "lattice_angstrom": [[5.948, 0.000, 0.000], [-2.974, 5.151, 0.000], [0.000, 0.000, 6.898]], "species": ["Ba", "Ba", "Ba", "Zn", "Zn", "Fe", "O", "O", "O", "O", "O", "O"], "frac_coords": [[0.000, 0.000, 0.000], [0.333, 0.667, 0.647], [0.667, 0.333, 0.353], [0.333, 0.667, 0.208], [0.667, 0.333, 0.792], [0.000, 0.000, 0.500], [0.161, 0.321, 0.319], [0.161, 0.839, 0.319], [0.321, 0.161, 0.681], [0.679, 0.839, 0.319], [0.839, 0.161, 0.681], [0.839, 0.679, 0.681]]}